Record 1
Crystalline YTa2B at its relaxed geometry. Source: OQMD, functional GGA-PBE.

Structure (POSCAR):
```
YTa2B
1.0
6.549 0.000 0.000
0.000 6.549 0.000
0.000 0.000 6.549
Y Ta B
4 8 4
direct
0.000 0.000 0.000
0.000 0.500 0.500
0.500 0.000 0.500
0.500 0.500 0.000
0.000 0.000 0.500
0.000 0.500 0.000
0.250 0.250 0.250
0.250 0.750 0.750
0.500 0.000 0.000
0.500 0.500 0.500
0.750 0.250 0.750
0.750 0.750 0.250
0.250 0.250 0.750
0.250 0.750 0.250
0.750 0.250 0.250
0.750 0.750 0.750
```

## Properties
* uncorrected energy: -8.479 eV per atom

---

Record 2
Crystalline Li2ZrGeO at its relaxed geometry. Source: OQMD, functional GGA-PBE.

Structure (POSCAR):
```
Li2ZrGeO
1.0
3.938 0.000 0.000
0.000 3.938 0.000
0.000 0.000 4.383
Li Zr Ge O
2 1 1 1
direct
0.000 0.500 0.000
0.500 0.000 0.000
0.000 0.000 0.500
0.500 0.500 0.500
0.000 0.000 0.000
```

## Properties
* uncorrected energy: -5.815 eV per atom